Entry 1:
A plane-wave DFT calculation with meta-GGA SCAN was carried out for a PBEsol-optimized structure of BaLaAu2.

POSCAR file:
```
BaLaAu2
1.0
4.440 0.000 0.000
2.220 3.845 0.000
2.220 1.282 7.440
Au Ba La
2 1 1
direct
0.260 0.260 0.220
0.740 0.740 0.780
0.500 0.500 0.500
0.000 0.000 0.000
```

Calculated values
ΔH_f (0 K) = -0.89 eV/atom

Entry 2:
A plane-wave DFT calculation with meta-GGA SCAN was carried out for a PBEsol-optimized structure of Ge2BiAs2.

POSCAR file:
```
Ge2BiAs2
1.0
3.865 0.000 0.000
0.000 3.865 0.000
-1.933 -1.933 7.264
As Ge Bi
2 2 1
direct
0.396 0.396 0.791
0.604 0.604 0.209
0.250 0.750 0.500
0.750 0.250 0.500
0.000 0.000 0.000
```

Calculated values
ΔH_f (0 K) = 0.32 eV/atom

Entry 3:
A plane-wave DFT calculation with meta-GGA SCAN was carried out for a PBEsol-optimized structure of Ca3YH.

POSCAR file:
```
Ca3YH
1.0
-0.557 -4.945 -1.516
4.846 0.033 -1.890
1.807 -1.614 4.603
Y H Ca
1 1 3
direct
0.500 0.500 0.500
0.000 0.000 0.000
0.000 0.500 0.000
0.000 0.000 0.500
0.500 0.000 0.000
```

Entry 4:
A plane-wave DFT calculation with meta-GGA SCAN was carried out for a PBEsol-optimized structure of In.

POSCAR file:
```
In
1.0
-0.331 -2.820 -1.428
0.378 -1.314 2.869
-2.499 2.180 -0.352
In
1
direct
0.000 0.000 0.000
```

Calculated values
energy above the lowest structure with this stoichiometry = 62 meV/atom
ΔH_f (0 K) = 0.06 eV/atom

Entry 5:
A plane-wave DFT calculation with meta-GGA SCAN was carried out for a PBEsol-optimized structure of CsTeHN2.

POSCAR file:
```
CsTeHN2
1.0
4.556 0.000 0.000
0.000 4.556 0.000
0.000 0.000 7.498
Cs H Te N
1 1 1 2
direct
0.000 0.000 0.000
0.500 0.500 0.500
0.000 0.000 0.500
0.000 0.500 0.000
0.500 0.000 0.000
```

Calculated values
energy above the lowest structure with this stoichiometry = 1099 meV/atom

Entry 6:
A plane-wave DFT calculation with meta-GGA SCAN was carried out for a PBEsol-optimized structure of La2NiCl.

POSCAR file:
```
La2NiCl
1.0
-2.101 -1.773 2.965
3.326 -0.102 2.297
-1.362 5.306 2.207
Ni La Cl
1 2 1
direct
0.000 0.000 0.000
0.000 0.000 0.500
0.500 0.500 0.000
0.500 0.500 0.500
```

Calculated values
energy above the lowest structure with this stoichiometry = 53 meV/atom
uncorrected formation energy = -1044 meV/atom

Entry 7:
A plane-wave DFT calculation with meta-GGA SCAN was carried out for a PBEsol-optimized structure of BeTePd3.

POSCAR file:
```
BeTePd3
1.0
4.833 0.000 0.000
0.000 4.833 0.000
0.000 0.000 4.833
Be Te Pd
1 1 3
direct
0.500 0.500 0.500
0.000 0.000 0.000
0.000 0.500 0.000
0.000 0.000 0.500
0.500 0.000 0.000
```

Calculated values
uncorrected formation energy = 755 meV/atom

Entry 8:
A plane-wave DFT calculation with meta-GGA SCAN was carried out for a PBEsol-optimized structure of CaCoMo2.

POSCAR file:
```
CaCoMo2
1.0
-1.970 -1.739 -0.817
3.301 -3.046 -1.475
0.028 -2.036 4.267
Mo Co Ca
2 1 1
direct
0.000 0.000 0.500
0.000 0.500 0.000
0.500 0.000 0.000
0.500 0.500 0.500
```

Calculated values
energy above the lowest structure with this stoichiometry = 282 meV/atom
ΔH_f (0 K) = 1.13 eV/atom

Entry 9:
A plane-wave DFT calculation with meta-GGA SCAN was carried out for a PBEsol-optimized structure of ScFeAu2.

POSCAR file:
```
ScFeAu2
1.0
-1.494 -2.005 -1.719
-1.387 -2.151 3.713
-3.884 2.766 0.151
Au Fe Sc
2 1 1
direct
0.875 0.000 0.950
0.875 0.500 0.316
0.375 0.000 0.430
0.375 0.500 0.805
```

Calculated values
ΔH_f (0 K) = -0.42 eV/atom

Entry 10:
A plane-wave DFT calculation with meta-GGA SCAN was carried out for a PBEsol-optimized structure of LiPRh3.

POSCAR file:
```
LiPRh3
1.0
4.024 0.000 0.000
0.000 4.024 0.000
0.000 0.000 4.024
P Rh Li
1 3 1
direct
0.500 0.500 0.500
0.000 0.500 0.000
0.000 0.000 0.500
0.500 0.000 0.000
0.000 0.000 0.000
```

Calculated values
ΔH_f (0 K) = 0.73 eV/atom

Entry 11:
A plane-wave DFT calculation with meta-GGA SCAN was carried out for a PBEsol-optimized structure of Ta4PtRh.

POSCAR file:
```
Ta4PtRh
1.0
5.246 0.000 0.000
2.623 4.544 0.000
2.623 1.515 4.284
Pt Rh Ta
1 1 4
direct
0.750 0.750 0.750
0.000 0.000 0.000
0.375 0.375 0.375
0.375 0.375 0.876
0.876 0.375 0.375
0.375 0.876 0.375
```

Calculated values
ΔH_f (0 K) = 0.08 eV/atom

Entry 12:
A plane-wave DFT calculation with meta-GGA SCAN was carried out for a PBEsol-optimized structure of Ca2YHg2.

POSCAR file:
```
Ca2YHg2
1.0
4.219 0.000 0.000
0.000 8.138 0.000
0.000 0.000 8.138
Y Ca Hg
2 4 4
direct
0.000 0.000 0.000
0.000 0.500 0.500
0.500 0.161 0.661
0.500 0.661 0.839
0.500 0.839 0.339
0.500 0.339 0.161
0.000 0.361 0.861
0.000 0.861 0.639
0.000 0.639 0.139
0.000 0.139 0.361
```

Calculated values
ΔH_f (0 K) = -0.57 eV/atom

Entry 13:
A plane-wave DFT calculation with meta-GGA SCAN was carried out for a PBEsol-optimized structure of Sr3BeSb.

POSCAR file:
```
Sr3BeSb
1.0
5.584 0.000 0.000
0.000 5.584 0.000
0.000 0.000 5.584
Sb Be Sr
1 1 3
direct
0.500 0.500 0.500
0.000 0.000 0.000
0.000 0.500 0.000
0.000 0.000 0.500
0.500 0.000 0.000
```

Calculated values
uncorrected formation energy = -26 meV/atom

Entry 14:
A plane-wave DFT calculation with meta-GGA SCAN was carried out for a PBEsol-optimized structure of NiHgCl2.

POSCAR file:
```
NiHgCl2
1.0
3.407 0.000 0.000
0.000 4.648 0.052
0.000 -0.292 4.639
Ni Hg Cl
1 1 2
direct
0.500 0.500 0.500
0.500 0.000 0.000
0.000 0.500 0.000
0.000 0.000 0.500
```

Calculated values
energy above the lowest structure with this stoichiometry = 978 meV/atom
uncorrected formation energy = 209 meV/atom

| no. | Fermi-level density of states (states/eV/f.u.) | calculated total energy (eV/atom) |
| --- | --- | --- |
| 1 | 2.010 | -56.134 |
| 2 | 1.997 | -31.110 |
| 3 | 5.792 | -12.055 |
| 4 | 0.387 | -33.324 |
| 5 | 4.607 | -16.684 |
| 6 | 4.366 | -28.634 |
| 7 | 1.886 | -27.231 |
| 8 | 3.941 | -23.051 |
| 9 | 3.876 | -43.091 |
| 10 | 3.007 | -22.094 |
| 11 | 4.202 | -61.639 |
| 12 | 4.587 | -37.274 |
| 13 | 3.494 | -21.714 |
| 14 | 2.124 | -24.865 |